K3Na2GaF9 | Alexandria | PBE | relaxed; uncorrected formation energy = -2.602 eV per atom; E = -4.3222 eV per atom; total magnetization = 0.074 μB/atom
1.0
5.9341 0.0000 0.0000
-2.9671 5.1391 0.0000
0.0000 0.0000 7.5845
K Na Ga F
3 2 1 9
direct
0.0000 0.0000 0.0000
0.3333 0.6667 0.6784
0.6667 0.3333 0.3216
0.3333 0.6667 0.1915
0.6667 0.3333 0.8085
0.0000 0.0000 0.5000
0.0000 0.5000 0.0000
0.1524 0.3047 0.3533
0.1524 0.8476 0.3533
0.3047 0.1524 0.6467
0.5000 0.0000 0.0000
0.5000 0.5000 0.0000
0.6953 0.8476 0.3533
0.8476 0.1524 0.6467
0.8476 0.6953 0.6467



KNa2GaF6 | Alexandria | PBE | relaxed; uncorrected formation energy = -2.769 eV per atom; E = -4.5683 eV per atom; total magnetization = 0.014 μB/atom; distance to the lowest polymorph of the same formula = 0.000 eV/atom
1.0
2.8997 1.6742 5.1658
-2.8997 1.6742 5.1658
0.0000 -3.3483 5.1658
K Na Ga F
1 2 1 6
direct
0.0000 0.0000 0.0000
0.2777 0.2777 0.2777
0.7912 0.7912 0.7912
0.4820 0.4820 0.4820
0.1289 0.6502 0.4311
0.2626 0.5540 0.8273
0.4311 0.1289 0.6502
0.5540 0.8273 0.2626
0.6502 0.4311 0.1289
0.8273 0.2626 0.5540